# 1
VASP calculation (PBE) on a geometry-optimized LiAcLuCu structure.

Cell: 5.2456 5.2456 5.2456 Å, 60.00 60.00 60.00°
Sites, in units of the cell vectors:
Li 0.0000 0.0000 0.0000
Ac 0.2500 0.2500 0.2500
Lu 0.7500 0.7500 0.7500
Cu 0.5000 0.5000 0.5000

Values from the calculation:
**Volume**: 102.06 Å³ per cell
**Energy of formation from the pure elements**: 45 meV per atom



# 2
VASP calculation (PBE) on a geometry-optimized Mo3Se structure.

Cell: 2.9995 4.2187 5.0638 Å, 90.00 90.00 90.00°
Sites, in units of the cell vectors:
Mo 0.0000 0.0000 0.0000
Mo 0.5000 0.5000 0.2470
Mo 0.5000 0.5000 0.7530
Se 0.0000 0.0000 0.5000

Values from the calculation:
**ΔE to the lowest computed polymorph**: 91 meV per atom
**Volume**: 64.08 Å³ per cell



# 3
VASP calculation (PBE) on a geometry-optimized LuP3O9 structure.

Cell: 6.9880 9.7120 10.9370 Å, 90.00 91.95 90.00°
Sites, in units of the cell vectors:
Lu 0.1798 0.2500 0.4612
Lu 0.3093 0.2500 0.9800
Lu 0.6907 0.7500 0.0200
Lu 0.8202 0.7500 0.5388
P 0.1792 0.7500 0.1001
P 0.2681 0.0124 0.2306
P 0.2681 0.4876 0.2306
P 0.3069 0.7500 0.6237
P 0.3223 0.0356 0.7155
P 0.3223 0.4644 0.7155
P 0.6777 0.5356 0.2845
P 0.6777 0.9644 0.2845
P 0.6931 0.2500 0.3763
P 0.7319 0.5124 0.7694
P 0.7319 0.9876 0.7694
P 0.8208 0.2500 0.8999
O 0.0083 0.7500 0.0135
O 0.1357 0.7500 0.5369
O 0.1522 0.0892 0.3210
O 0.1522 0.4108 0.3210
O 0.1518 0.6238 0.1942
O 0.1518 0.8762 0.1942
O 0.2258 0.0955 0.6032
O 0.2258 0.4045 0.6032
O 0.2760 0.0926 0.8381
O 0.2760 0.4074 0.8381
O 0.2874 0.6270 0.7219
O 0.2874 0.8730 0.7219
O 0.3288 0.0882 0.1186
O 0.3288 0.4118 0.1186
O 0.3776 0.7500 0.0517
O 0.4514 0.5501 0.3048
O 0.4514 0.9499 0.3048
O 0.4963 0.2500 0.4271
O 0.5037 0.7500 0.5729
O 0.5486 0.0501 0.6952
O 0.5486 0.4499 0.6952
O 0.6224 0.2500 0.9483
O 0.6712 0.5882 0.8814
O 0.6712 0.9118 0.8814
O 0.7126 0.1270 0.2781
O 0.7126 0.3730 0.2781
O 0.7240 0.5926 0.1619
O 0.7240 0.9074 0.1619
O 0.7742 0.5955 0.3968
O 0.7742 0.9045 0.3968
O 0.8482 0.1238 0.8058
O 0.8482 0.3762 0.8058
O 0.8478 0.5892 0.6790
O 0.8478 0.9108 0.6790
O 0.8643 0.2500 0.4631
O 0.9917 0.2500 0.9865

Values from the calculation:
**ΔE to the lowest computed polymorph**: 8 meV per atom
**Volume**: 741.84 Å³ per cell



What is the formula in the first record? LiAcLuCu